VASP calculation (PBE-GGA) on a geometry-optimized CePrGe2 structure.

abc: 3.4172 3.4172 8.2899
angles: 90.00 90.00 90.00
Space group P4/mmm (No. 123)
Unique sites:
Ce 0.0000 0.0000 0.0000
Pr 0.0000 0.0000 0.5000
Ge 0.5000 0.5000 0.2451

Summary:
DOS(E_F)	6.168	states/eV per cell
VASP energy	-5.61	eV/atom
ΔE_f	-0.620	eV per atom

---

VASP calculation (PBE-GGA) on a geometry-optimized SrGaI structure.

abc: 12.0207 4.4060 9.0744
angles: 90.00 107.14 90.00
Space group Cm (No. 8)
Unique sites:
Sr 0.0000 0.0000 0.0000
Sr 0.1921 0.0000 0.5938
Ga 0.1963 0.5000 0.8966
Ga 0.2768 0.0000 0.9810
I 0.0645 0.5000 0.3075
I 0.4070 0.5000 0.6031

Summary:
DOS(E_F)	1.385	states/eV per cell
VASP energy	-2.95	eV/atom
formation energy without anion corrections	-862	meV/atom

---

VASP calculation (PBE-GGA) on a geometry-optimized Zr5HgRu4 structure.

abc: 3.2565 3.2565 17.4152
angles: 90.00 90.00 90.00
Space group P4/mmm (No. 123)
Unique sites:
Zr 0.0000 0.0000 0.0000
Zr 0.0000 0.0000 0.1898
Zr 0.0000 0.0000 0.3791
Hg 0.5000 0.5000 0.5000
Ru 0.5000 0.5000 0.0943
Ru 0.5000 0.5000 0.2838

Summary:
DOS(E_F)	5.339	states/eV per cell
VASP energy	-8.55	eV/atom
ΔE_f	-0.534	eV per atom